1.
First-principles (GGA-PBE) data for crystalline KO2 at its relaxed geometry, as listed in the Alexandria database.

Symmetry: Immm (71)
Total moment in μB per formula unit: 1.001
Energy above the most stable polymorph in this dataset in eV/atom: 0.012

Geometry as extended XYZ:
```
3
Lattice="-2.188 2.424 2.723 2.188 -2.424 2.723 2.188 2.424 -2.723" Properties=species:S:1:pos:R:3 pbc="T T T"
K 0.000 0.000 0.000
O 2.188 1.747 0.000
O 0.000 0.677 2.723
```



2.
First-principles (GGA-PBE) data for crystalline KO3 at its relaxed geometry, as listed in the Alexandria database.

Symmetry: I4/mcm (140)
Total moment in μB per formula unit: 1.000
Energy above the most stable polymorph in this dataset in eV/atom: 0.004

Geometry as extended XYZ:
```
16
Lattice="-4.415 4.415 3.607 4.415 -4.415 3.607 4.415 4.415 -3.607" Properties=species:S:1:pos:R:3 pbc="T T T"
K 0.000 0.000 1.804
K 4.415 0.000 1.804
K 0.000 4.415 1.804
K 0.000 0.000 5.411
O 6.613 0.582 0.000
O 6.341 1.927 0.000
O 4.997 2.199 0.000
O 0.582 2.216 0.000
O 1.927 2.488 0.000
O 2.199 3.833 0.000
O 2.216 0.582 3.607
O 2.488 1.927 3.607
O 3.833 2.199 3.607
O -0.582 2.216 3.607
O -1.927 2.488 3.607
O -2.199 3.833 3.607
```



3.
First-principles (GGA-PBE) data for crystalline KO at its relaxed geometry, as listed in the Alexandria database.

Symmetry: Pbca (61)
Total moment in μB per formula unit: 0.000

Geometry as extended XYZ:
```
16
Lattice="5.095 0.000 0.000 0.000 6.998 0.000 0.000 0.000 8.473" Properties=species:S:1:pos:R:3 pbc="T T T"
K 0.483 1.203 1.058
K 0.483 2.296 5.294
K 2.064 4.702 1.058
K 2.064 5.795 5.294
K 3.030 1.203 3.179
K 3.030 2.296 7.416
K 4.612 4.702 3.179
K 4.612 5.795 7.416
O 0.421 0.204 3.632
O 0.421 3.295 7.869
O 2.126 3.703 3.632
O 2.126 6.794 7.869
O 2.968 0.204 0.605
O 2.968 3.295 4.841
O 4.674 3.703 0.605
O 4.674 6.794 4.841
```



4.
First-principles (GGA-PBE) data for crystalline K2O at its relaxed geometry, as listed in the Alexandria database.

Symmetry: C2/m (12)
Total moment in μB per formula unit: 0.000

Geometry as extended XYZ:
```
6
Lattice="3.710 -2.146 0.000 3.710 2.146 0.000 -2.692 0.000 10.237" Properties=species:S:1:pos:R:3 pbc="T T T"
K -0.001 0.000 3.203
K -0.218 0.000 9.185
K 4.947 0.000 1.052
K 4.730 0.000 7.034
O 2.473 0.000 2.063
O 2.256 0.000 8.174
```



| no. | formation energy without anion corrections (meV per atom) |
| --- | --- |
| 1 | -857.5 |
| 2 | -639.9 |
| 3 | -1035.9 |
| 4 | -985.3 |